Density functional theory data (PBE-GGA) for a geometry-optimized MgNpTiO6 structure.

Unit cell a=5.3267 b=5.3267 c=9.0246 alpha=90.00 beta=90.00 gamma=120.00
Last column: nearest neighbours and their distance in Å.
Element x y z (fractional)
O1 0.3546 0.0123 0.1341  1 Ti 1.98, 1 Np 2.07, 1 Mg 2.22
O2 0.6454 0.6577 0.6341  1 Ti 1.98, 1 Np 2.07, 1 Mg 2.22
O3 0.9877 0.3423 0.1341  1 Ti 1.98, 1 Np 2.07, 1 Mg 2.22
O4 0.6454 0.9877 0.8659  1 Ti 1.98, 1 Np 2.07, 1 Mg 2.22
O5 0.0123 0.3546 0.6341  1 Ti 1.98, 1 Np 2.07, 1 Mg 2.22
O6 0.6577 0.6454 0.1341  1 Ti 1.98, 1 Np 2.07, 1 Mg 2.22
O7 0.0123 0.6577 0.8659  1 Ti 1.98, 1 Np 2.07, 1 Mg 2.22
O8 0.3546 0.3423 0.3659  1 Ti 1.98, 1 Np 2.07, 1 Mg 2.22
O9 0.3423 0.9877 0.6341  1 Ti 1.98, 1 Np 2.07, 1 Mg 2.22
O10 0.9877 0.6454 0.3659  1 Ti 1.98, 1 Np 2.07, 1 Mg 2.22
O11 0.3423 0.3546 0.8659  1 Ti 1.98, 1 Np 2.07, 1 Mg 2.22
O12 0.6577 0.0123 0.3659  1 Ti 1.98, 1 Np 2.07, 1 Mg 2.22
Np1 0.6667 0.3333 0.7500  6 O 2.07
Np2 0.3333 0.6667 0.2500  6 O 2.07
Mg1 0.0000 0.0000 0.5000  6 O 2.22
Mg2 0.0000 0.0000 0.0000  6 O 2.22
Ti1 0.6667 0.3333 0.2500  6 O 1.98
Ti2 0.3333 0.6667 0.7500  6 O 1.98

Results
formation energy from raw total energies: -2.781 eV per atom
symmetry: P-31c
Fermi-level density of states: 0.6 states/eV per cell
magnetic moment: 2.0 Bohr magnetons per cell
electronic total energy: -154.41 eV per cell